No. 1
Entry from Alexandria: a relaxed SrSc3Tc crystal (PBE).

Output
Energy (eV/cell): -21.68
Formation energy from the elements (eV/atom): 1.8725
SG: Pm-3m (221)
Density of states at the Fermi level (states/eV/cell): 9.1
Relative energy among the computed polymorphs (eV/atom): 1.852

a = 4.8932 Å, b = 4.8932 Å, c = 4.8932 Å
α = 90.00°, β = 90.00°, γ = 90.00°
Element x y z (fractional)
Sc (0.0000, 0.5000, 0.0000)
Sc (0.0000, 0.0000, 0.5000)
Sc (0.5000, 0.0000, 0.0000)
Sr (0.0000, 0.0000, 0.0000)
Tc (0.5000, 0.5000, 0.5000)

=====

No. 2
Entry from Alexandria: a relaxed Na3NpU2N6 crystal (PBE).

Output
Energy (eV/cell): -101.10
SG: C2/m (12)
Density of states at the Fermi level (states/eV/cell): 13.1

a = 3.5068 Å, b = 6.9558 Å, c = 7.8149 Å
α = 102.39°, β = 102.97°, γ = 90.00°
Site moments in Bohr magnetons follow the coordinates.
Element x y z (fractional)
Na (0.5000, 0.5000, 0.0000)  0.00
Na (0.8334, 0.1661, 0.6668)  0.00
Na (0.1666, 0.8339, 0.3332)  0.00
Np (0.5000, 0.0000, 0.0000)  2.72
U (0.8337, 0.6688, 0.6673)  0.79
U (0.1663, 0.3312, 0.3327)  0.79
N (0.3448, 0.8729, 0.6896)  -0.07
N (0.6823, 0.5430, 0.3647)  -0.04
N (0.6552, 0.1271, 0.3104)  -0.07
N (0.0178, 0.2161, 0.0355)  -0.11
N (0.9822, 0.7839, 0.9645)  -0.11
N (0.3177, 0.4570, 0.6353)  -0.04

=====

No. 3
Entry from Alexandria: a relaxed Fe2MoAu crystal (PBE).

Output
Energy (eV/cell): -30.09
Formation energy from the elements (eV/atom): 0.2353
SG: P4/mmm (123)
Density of states at the Fermi level (states/eV/cell): 4.2
Relative energy among the computed polymorphs (eV/atom): 0.074

a = 2.6713 Å, b = 2.6713 Å, c = 8.1487 Å
α = 90.00°, β = 90.00°, γ = 90.00°
Site moments in Bohr magnetons follow the coordinates.
Element x y z (fractional)
Au (0.5000, 0.5000, 0.7500)  0.10
Fe (0.0000, 0.0000, 0.0037)  2.57
Fe (0.0000, 0.0000, 0.4963)  2.57
Mo (0.5000, 0.5000, 0.2500)  -0.06

=====

No. 4
Entry from Alexandria: a relaxed LiMgCd2 crystal (PBE).

Output
Energy (eV/cell): -6.10
Formation energy from the elements (eV/atom): -0.1892
SG: P4/mmm (123)
Density of states at the Fermi level (states/eV/cell): 0.7

a = 4.6266 Å, b = 4.6276 Å, c = 3.7726 Å
α = 90.00°, β = 90.00°, γ = 90.00°
Element x y z (fractional)
Mg (0.0000, 0.5000, 0.5000)
Li (0.5000, 0.0000, 0.5000)
Cd (0.0000, 0.0000, 0.0000)
Cd (0.5000, 0.5000, 0.0000)

=====

No. 5
Entry from Alexandria: a relaxed Li2LaTi crystal (PBE).

Output
Energy (eV/cell): -15.06
Formation energy from the elements (eV/atom): 0.3969
SG: Fm-3m (225)
Density of states at the Fermi level (states/eV/cell): 2.8
Relative energy among the computed polymorphs (eV/atom): 0.000

a = 5.0713 Å, b = 5.0713 Å, c = 5.0713 Å
α = 60.00°, β = 60.00°, γ = 60.00°
Site moments in Bohr magnetons follow the coordinates.
Element x y z (fractional)
Ti (0.0000, 0.0000, 0.0000)  1.38
Li (0.2500, 0.2500, 0.2500)  0.01
Li (0.7500, 0.7500, 0.7500)  0.01
La (0.5000, 0.5000, 0.5000)  0.16

=====

No. 6
Entry from Alexandria: a relaxed Ho2CdNi crystal (PBE).

Output
Energy (eV/cell): -16.94
Formation energy from the elements (eV/atom): -0.2730
SG: Fm-3m (225)
Density of states at the Fermi level (states/eV/cell): 2.6
Relative energy among the computed polymorphs (eV/atom): 0.106

a = 5.0283 Å, b = 5.0283 Å, c = 5.0283 Å
α = 60.00°, β = 60.00°, γ = 60.00°
Element x y z (fractional)
Ni (0.0000, 0.0000, 0.0000)
Ho (0.2500, 0.2500, 0.2500)
Ho (0.7500, 0.7500, 0.7500)
Cd (0.5000, 0.5000, 0.5000)